i | First-principles (PBE+U) data for an optimized crystal structure of HfCrNF2, as listed in Alexandria.

a = 4.1692 Å, b = 4.1692 Å, c = 4.1965 Å
α = 90.00°, β = 90.00°, γ = 90.00°
Element x y z (fractional)
Hf 0.0000 0.0000 0.0000
Cr 0.5000 0.5000 0.5000
N 0.0000 0.0000 0.5000
F 0.0000 0.5000 0.0000
F 0.5000 0.0000 0.0000

Computed properties:
SG   P4/mmm
Mass density   6.431 g/cm³
Spin magnetization   5.00 μB/cell

ii | First-principles (PBE+U) data for an optimized crystal structure of HfCrNF2, as listed in Alexandria.

a = 3.6734 Å, b = 3.6734 Å, c = 5.2928 Å
α = 90.00°, β = 90.00°, γ = 90.00°
Element x y z (fractional)
Hf 0.0000 0.0000 0.0000
Cr 0.5000 0.5000 0.5000
N 0.5000 0.5000 0.0000
F 0.0000 0.5000 0.5000
F 0.5000 0.0000 0.5000

Computed properties:
SG   P4/mmm
Mass density   6.568 g/cm³
Spin magnetization   4.73 μB/cell

i is preferred energetically. Next in line: 709 meV/atom higher.

i | First-principles (PBE+U) data for an optimized crystal structure of Cr3HgF, as listed in Alexandria.

a = 4.5578 Å, b = 4.5578 Å, c = 4.5578 Å
α = 90.00°, β = 90.00°, γ = 90.00°
Element x y z (fractional)
Cr 0.0000 0.0000 0.5000
Cr 0.0000 0.5000 0.0000
Cr 0.5000 0.0000 0.0000
Hg 0.5000 0.5000 0.5000
F 0.0000 0.0000 0.0000

Computed properties:
SG   Pm-3m
Mass density   6.587 g/cm³
Spin magnetization   14.05 μB/cell

ii | First-principles (PBE+U) data for an optimized crystal structure of Cr3HgF, as listed in Alexandria.

a = 5.2991 Å, b = 5.2991 Å, c = 5.2991 Å
α = 90.00°, β = 90.00°, γ = 90.00°
Element x y z (fractional)
Cr 0.0000 0.0000 0.5000
Cr 0.0000 0.5000 0.0000
Cr 0.5000 0.0000 0.0000
Hg 0.0000 0.0000 0.0000
F 0.5000 0.5000 0.5000

Computed properties:
SG   Pm-3m
Mass density   4.191 g/cm³
Spin magnetization   14.57 μB/cell

i is preferred energetically. Next in line: 748 meV/atom higher.

i | First-principles (PBE+U) data for an optimized crystal structure of CrHgNF2, as listed in Alexandria.

a = 3.9085 Å, b = 3.9085 Å, c = 4.2487 Å
α = 90.00°, β = 90.00°, γ = 90.00°
Element x y z (fractional)
Cr 0.0000 0.0000 0.0000
Hg 0.5000 0.5000 0.5000
N 0.0000 0.0000 0.5000
F 0.0000 0.5000 0.0000
F 0.5000 0.0000 0.0000

Computed properties:
SG   P4/mmm
Mass density   7.793 g/cm³
Spin magnetization   2.69 μB/cell

ii | First-principles (PBE+U) data for an optimized crystal structure of CrHgNF2, as listed in Alexandria.

a = 4.6882 Å, b = 4.6882 Å, c = 4.0484 Å
α = 90.00°, β = 90.00°, γ = 90.00°
Element x y z (fractional)
Cr 0.0000 0.0000 0.0000
Hg 0.5000 0.5000 0.5000
N 0.5000 0.5000 0.0000
F 0.0000 0.5000 0.5000
F 0.5000 0.0000 0.5000

Computed properties:
SG   P4/mmm
Mass density   5.684 g/cm³
Spin magnetization   5.74 μB/cell

i is preferred energetically. Next in line: 985 meV/atom higher.

i | First-principles (PBE+U) data for an optimized crystal structure of Ho2CrF8, as listed in Alexandria.

a = 7.5285 Å, b = 7.5285 Å, c = 5.7044 Å
α = 105.71°, β = 105.71°, γ = 26.51°
Element x y z (fractional)
Ho 0.1801 0.1801 0.1968
Ho 0.8199 0.8199 0.8032
Cr 0.5000 0.5000 0.5000
F 0.0409 0.0409 0.3359
F 0.2161 0.2161 0.8345
F 0.3186 0.3186 0.5302
F 0.4015 0.4015 0.0080
F 0.5985 0.5985 0.9920
F 0.6814 0.6814 0.4698
F 0.7839 0.7839 0.1655
F 0.9591 0.9591 0.6641

Computed properties:
SG   C2/m
Mass density   6.395 g/cm³
Spin magnetization   4.00 μB/cell

ii | First-principles (PBE+U) data for an optimized crystal structure of Ho2CrF8, as listed in Alexandria.

a = 5.8620 Å, b = 5.8620 Å, c = 5.0013 Å
α = 102.09°, β = 102.09°, γ = 73.19°
Element x y z (fractional)
Ho 0.1780 0.1780 0.4177
Ho 0.8220 0.8220 0.5823
Cr 0.5000 0.5000 0.0000
F 0.0657 0.0657 0.7631
F 0.1526 0.5403 0.7149
F 0.3557 0.3557 0.2238
F 0.4597 0.8474 0.2851
F 0.5403 0.1526 0.7149
F 0.6443 0.6443 0.7762
F 0.8474 0.4597 0.2851
F 0.9343 0.9343 0.2369

Computed properties:
SG   C2/m
Mass density   5.582 g/cm³
Spin magnetization   4.00 μB/cell

ii is preferred energetically. Next in line: 31 meV/atom higher.

i | First-principles (PBE+U) data for an optimized crystal structure of CrI3F, as listed in Alexandria.

a = 5.5190 Å, b = 5.5190 Å, c = 5.5190 Å
α = 90.00°, β = 90.00°, γ = 90.00°
Element x y z (fractional)
Cr 0.0000 0.0000 0.0000
I 0.0000 0.0000 0.5000
I 0.0000 0.5000 0.0000
I 0.5000 0.0000 0.0000
F 0.5000 0.5000 0.5000

Computed properties:
SG   Pm-3m
Mass density   4.462 g/cm³
Spin magnetization   4.20 μB/cell

ii | First-principles (PBE+U) data for an optimized crystal structure of CrI3F, as listed in Alexandria.

a = 5.3524 Å, b = 5.3524 Å, c = 5.3524 Å
α = 90.00°, β = 90.00°, γ = 90.00°
Element x y z (fractional)
Cr 0.0000 0.0000 0.0000
I 0.0000 0.5000 0.5000
I 0.5000 0.0000 0.5000
I 0.5000 0.5000 0.0000
F 0.5000 0.5000 0.5000

Computed properties:
SG   Pm-3m
Mass density   4.892 g/cm³
Spin magnetization   4.38 μB/cell

i is preferred energetically. Next in line: 274 meV/atom higher.

i | First-principles (PBE+U) data for an optimized crystal structure of CrIF2, as listed in Alexandria.

a = 6.5663 Å, b = 6.5663 Å, c = 6.5663 Å
α = 124.69°, β = 124.69°, γ = 82.06°
Element x y z (fractional)
Cr 0.3750 0.6250 0.7500
Cr 0.6250 0.3750 0.2500
I 0.1250 0.8750 0.2500
I 0.8750 0.1250 0.7500
F 0.0000 0.5000 0.5000
F 0.5000 0.0000 0.0000
F 0.5000 0.5000 0.0000
F 0.5000 0.5000 0.5000

Computed properties:
SG   I4_1/amd
Mass density   3.913 g/cm³
Spin magnetization   6.00 μB/cell

ii | First-principles (PBE+U) data for an optimized crystal structure of CrIF2, as listed in Alexandria.

a = 4.5428 Å, b = 4.5428 Å, c = 4.5428 Å
α = 60.00°, β = 60.00°, γ = 60.00°
Element x y z (fractional)
Cr 0.0000 0.0000 0.0000
I 0.5000 0.5000 0.5000
F 0.2500 0.2500 0.2500
F 0.7500 0.7500 0.7500

Computed properties:
SG   Fm-3m
Mass density   5.433 g/cm³
Spin magnetization   3.04 μB/cell

i is preferred energetically. Next in line: 739 meV/atom higher.